Record 1
LuZnCuNi | PBE | relaxed

Lattice parameters (Å, degrees): 6.290 6.290 6.290 90.00 90.00 90.00
Space group F-43m (No. 216)
Inequivalent atoms, fractional coordinates:
Lu 0.000 0.000 0.000 [4 per cell]
Zn 0.000 0.000 0.500 [4 per cell]
Cu 0.250 0.250 0.250 [4 per cell]
Ni 0.250 0.250 0.750 [4 per cell]

Computed properties:
Formation energy from the elements   -0.28 eV/atom

---

Record 2
Na2TlNi | PBE | relaxed

Lattice parameters (Å, degrees): 3.997 3.997 22.018 90.00 90.00 90.00
Space group I-42d (No. 122)
Inequivalent atoms, fractional coordinates:
Na 0.237 0.250 0.125 [8 per cell]
Tl 0.000 0.000 0.500 [4 per cell]
Ni 0.000 0.000 0.000 [4 per cell]

Computed properties:
Offset from the most stable computed form   0 meV/atom
Formation energy from the elements   0.34 eV/atom

---

Record 3
RbSi | PBE | relaxed

Lattice parameters (Å, degrees): 3.4502 3.4502 12.3956 90.00 90.00 120.00
Space group P6_3mc (No. 186)
Inequivalent atoms, fractional coordinates:
Rb 0.3333 0.6667 0.0000 [2 per cell]
Si 0.3333 0.6667 0.7314 [2 per cell]

Computed properties:
Offset from the most stable computed form   1066 meV/atom
Raw formation energy   1017 meV/atom

---

Record 4
TmAlZn2Pd4 | PBE | relaxed

Lattice parameters (Å, degrees): 4.4739 4.4739 22.1515 90.00 90.00 120.00
Space group R-3m (No. 166, hexagonal axes)
Inequivalent atoms, fractional coordinates:
Tm 0.0000 0.0000 0.0000 [3 per cell]
Al 0.0000 0.0000 0.5000 [3 per cell]
Zn 0.0000 0.0000 0.2507 [6 per cell]
Pd 0.0000 0.0000 0.1303 [6 per cell]
Pd 0.0000 0.0000 0.3869 [6 per cell]

Computed properties:
Formation energy from the elements   -0.75 eV/atom

---

Record 5
Sb2PBr | PBE | relaxed

Lattice parameters (Å, degrees): 6.895 8.209 5.201 90.00 130.75 90.00
Space group C2/m (No. 12)
Inequivalent atoms, fractional coordinates:
Sb 0.250 0.250 0.000 [4 per cell]
P 0.000 0.000 0.500 [2 per cell]
Br 0.000 0.500 0.500 [2 per cell]

Computed properties:
Offset from the most stable computed form   348 meV/atom
Raw formation energy   343 meV/atom

---

Record 6
YBeW2 | PBE | relaxed

Lattice parameters (Å, degrees): 3.406 4.529 8.726 90.00 90.00 90.00
Space group Cmm2 (No. 35)
Inequivalent atoms, fractional coordinates:
Y 0.000 0.000 0.000 [2 per cell]
Be 0.000 0.500 0.260 [2 per cell]
W 0.000 0.000 0.456 [2 per cell]
W 0.000 0.500 0.704 [2 per cell]

Computed properties:
Formation energy from the elements   0.46 eV/atom

---

Record 7
BaTi2TeIr | PBE | relaxed

Lattice parameters (Å, degrees): 5.093 5.093 5.069 90.00 90.00 90.00
Space group P4/mmm (No. 123)
Inequivalent atoms, fractional coordinates:
Ba 0.000 0.000 0.000 [1 per cell]
Ti 0.000 0.500 0.000 [2 per cell]
Te 0.500 0.500 0.500 [1 per cell]
Ir 0.000 0.000 0.500 [1 per cell]

Computed properties:
Raw formation energy   1896 meV/atom

---

Record 8
CuAgPdPt | PBE | relaxed

Lattice parameters (Å, degrees): 2.7911 2.7911 27.1937 90.00 90.00 120.00
Space group R3m (No. 160, hexagonal axes)
Inequivalent atoms, fractional coordinates:
Cu 0.0000 0.0000 0.0000 [3 per cell]
Ag 0.0000 0.0000 0.1656 [3 per cell]
Pd 0.0000 0.0000 0.7442 [3 per cell]
Pt 0.0000 0.0000 0.5886 [3 per cell]

Computed properties:
Formation energy from the elements   -0.06 eV/atom